No. 1
Here is crystalline AlZn2Co at its relaxed geometry from the Alexandria database. Energies are from PBE.

Summary:
For the total magnetization, the calculation gives 0.00 μB per formula unit. The calculated density comes out at 6.9 g/cm³. The value obtained for the uncorrected energy is -14.101 eV/cell.

Geometry as POSCAR:
```
AlZn2Co
1.0
-1.803 1.803 3.999
1.803 -1.803 3.999
1.803 1.803 -3.999
Al Zn Co
1 2 1
Direct
0.000 0.000 0.000
0.250 0.750 0.500
0.750 0.250 0.500
0.500 0.500 0.000
```



No. 2
Here is crystalline Cs3LiSe at its relaxed geometry from the Alexandria database. Energies are from PBE.

Summary:
For the total magnetization, the calculation gives 0.00 μB per formula unit. The calculated density comes out at 2.3 g/cm³. As for the formation energy from raw total energies: -0.475 eV per atom. The value obtained for the uncorrected energy is -10.334 eV/cell.

Geometry as POSCAR:
```
Cs3LiSe
1.0
7.062 0.000 0.000
0.000 7.062 0.000
0.000 0.000 7.062
Cs Li Se
3 1 1
Direct
0.000 0.000 0.500
0.000 0.500 0.000
0.500 0.000 0.000
0.500 0.500 0.500
0.000 0.000 0.000
```



No. 3
Here is crystalline InNiSe2 at its relaxed geometry from the Alexandria database. Energies are from PBE.

Summary:
For the total magnetization, the calculation gives 1.06 μB per formula unit. The calculated density comes out at 5.7 g/cm³. As for the formation energy from raw total energies: 0.182 eV per atom. The value obtained for the uncorrected energy is -14.760 eV/cell.

Geometry as POSCAR:
```
InNiSe2
1.0
-1.857 1.857 7.033
1.857 -1.857 7.033
1.857 1.857 -7.033
In Ni Se
1 1 2
Direct
0.000 0.000 0.000
0.250 0.750 0.500
0.500 0.500 0.000
0.750 0.250 0.500
```



No. 4
Here is crystalline BaHfHCl2 at its relaxed geometry from the Alexandria database. Energies are from PBE.

Summary:
For the total magnetization, the calculation gives 0.93 μB per formula unit. The calculated density comes out at 3.7 g/cm³. The value obtained for the uncorrected energy is -21.411 eV/cell.

Geometry as POSCAR:
```
BaHfHCl2
1.0
4.858 0.000 0.000
0.000 4.858 0.000
0.000 0.000 7.335
Ba Hf H Cl
1 1 1 2
Direct
0.000 0.000 0.000
0.000 0.000 0.500
0.500 0.500 0.000
0.000 0.500 0.500
0.500 0.000 0.500
```



No. 5
Here is crystalline CeNdHg at its relaxed geometry from the Alexandria database. Energies are from PBE.

Summary:
For the total magnetization, the calculation gives 1.02 μB per formula unit. The calculated density comes out at 9.1 g/cm³. The value obtained for the uncorrected energy is -22.589 eV/cell.

Geometry as POSCAR:
```
CeNdHg
1.0
5.776 0.000 0.000
0.000 3.523 0.000
0.000 0.000 8.671
Ce Nd Hg
2 2 2
Direct
0.000 0.000 0.000
0.500 0.000 0.000
0.250 0.500 0.335
0.750 0.500 0.665
0.250 0.000 0.662
0.750 0.000 0.338
```



No. 6
Here is crystalline PH2F at its relaxed geometry from the Alexandria database. Energies are from PBE.

Summary:
For the total magnetization, the calculation gives 0.00 μB per formula unit. The calculated density comes out at 2.5 g/cm³. The value obtained for the uncorrected energy is -13.946 eV/cell.

Geometry as POSCAR:
```
PH2F
1.0
1.370 0.791 5.326
-1.370 0.791 5.326
0.000 -1.582 5.326
P H F
1 2 1
Direct
0.000 0.000 0.000
0.428 0.428 0.428
0.572 0.572 0.572
0.500 0.500 0.500
```



No. 7
Here is crystalline Th6SbTe3Ir2 at its relaxed geometry from the Alexandria database. Energies are from PBE.

Summary:
For the total magnetization, the calculation gives 0.00 μB per formula unit. The calculated density comes out at 10.3 g/cm³. As for the formation energy from raw total energies: -1.074 eV per atom. The value obtained for the uncorrected energy is -88.676 eV/cell.

Geometry as POSCAR:
```
Th6SbTe3Ir2
1.0
9.710 -2.128 0.000
9.710 2.128 0.000
-2.409 0.000 8.894
Th Sb Te Ir
6 1 3 2
Direct
0.017 0.017 0.257
0.322 0.322 0.445
0.330 0.330 0.876
0.670 0.670 0.124
0.678 0.678 0.555
0.983 0.983 0.743
0.500 0.500 0.000
0.158 0.158 0.834
0.500 0.500 0.500
0.842 0.842 0.166
0.170 0.170 0.336
0.830 0.830 0.664
```



No. 8
Here is crystalline Mn2SiIrS at its relaxed geometry from the Alexandria database. Energies are from PBE.

Summary:
For the total magnetization, the calculation gives 4.26 μB per formula unit. The calculated density comes out at 8.8 g/cm³. As for the formation energy from raw total energies: -0.288 eV per atom. The value obtained for the uncorrected energy is -38.192 eV/cell.

Geometry as POSCAR:
```
Mn2SiIrS
1.0
3.922 -1.471 0.000
3.922 1.471 0.000
-1.133 0.000 5.900
Mn Si Ir S
2 1 1 1
Direct
0.000 0.000 0.000
0.742 0.742 0.235
0.053 0.053 0.427
0.365 0.365 0.605
0.276 0.276 0.956
```



No. 9
Here is crystalline TePSeN2 at its relaxed geometry from the Alexandria database. Energies are from PBE.

Summary:
For the total magnetization, the calculation gives 0.54 μB per formula unit. The calculated density comes out at 5.2 g/cm³. As for the formation energy from raw total energies: 1.090 eV per atom. The value obtained for the uncorrected energy is -23.236 eV/cell.

Geometry as POSCAR:
```
TePSeN2
1.0
3.659 0.000 0.000
0.000 3.659 0.000
0.000 0.000 6.291
Te P Se N
1 1 1 2
Direct
0.000 0.000 0.000
0.000 0.000 0.500
0.500 0.500 0.000
0.000 0.500 0.500
0.500 0.000 0.500
```



No. 10
Here is crystalline Pa4SiOsSe2 at its relaxed geometry from the Alexandria database. Energies are from PBE.

Summary:
For the total magnetization, the calculation gives 0.00 μB per formula unit. The calculated density comes out at 11.3 g/cm³. As for the formation energy from raw total energies: -0.805 eV per atom. The value obtained for the uncorrected energy is -68.046 eV/cell.

Geometry as POSCAR:
```
Pa4SiOsSe2
1.0
7.114 0.000 0.000
0.000 3.984 0.000
-2.235 0.000 6.759
Pa Si Os Se
4 1 1 2
Direct
0.227 0.000 0.235
0.234 0.500 0.752
0.766 0.500 0.248
0.773 0.000 0.765
0.000 0.000 0.500
0.000 0.500 0.000
0.500 0.000 0.000
0.500 0.500 0.500
```



No. 11
Here is crystalline Rb2LaNb at its relaxed geometry from the Alexandria database. Energies are from PBE.

Summary:
For the total magnetization, the calculation gives 3.87 μB per formula unit. The calculated density comes out at 4.0 g/cm³. The value obtained for the uncorrected energy is -10.798 eV/cell.

Geometry as POSCAR:
```
Rb2LaNb
1.0
0.000 4.370 4.370
4.370 0.000 4.370
4.370 4.370 0.000
Rb La Nb
2 1 1
Direct
0.250 0.250 0.250
0.750 0.750 0.750
0.000 0.000 0.000
0.500 0.500 0.500
```



No. 12
Here is crystalline CuTcN2F at its relaxed geometry from the Alexandria database. Energies are from PBE.

Summary:
For the total magnetization, the calculation gives 2.97 μB per formula unit. The calculated density comes out at 6.3 g/cm³. As for the formation energy from raw total energies: 1.088 eV per atom. The value obtained for the uncorrected energy is -27.542 eV/cell.

Geometry as POSCAR:
```
CuTcN2F
1.0
3.836 0.000 0.000
0.000 3.836 0.000
0.000 0.000 3.711
Cu Tc N F
1 1 2 1
Direct
0.000 0.000 0.000
0.500 0.500 0.500
0.000 0.500 0.000
0.500 0.000 0.000
0.000 0.000 0.500
```